# KBe

A relaxed KBe crystal (PBE, the Alexandria database).

## Properties
DOS(E_F) = 4.41 states/eV/cell

```
data_KBe
_chemical_formula_sum 'K6 Be6'
_cell_length_a 14.151
_cell_length_b 4.106
_cell_length_c 6.382
_cell_angle_alpha 90.00
_cell_angle_beta 90.00
_cell_angle_gamma 90.00
_space_group_name_H-M_alt 'P m n 21'
_space_group_IT_number 31
loop_
_space_group_symop_operation_xyz
'x,y,z'
'-x+1/2,-y,z+1/2'
'-x,y,z'
'x+1/2,-y,z+1/2'
loop_
_atom_site_label
_atom_site_type_symbol
_atom_site_fract_x
_atom_site_fract_y
_atom_site_fract_z
K1 K 0.000 0.243 0.000
K2 K 0.246 0.749 0.982
Be1 Be 0.000 0.251 0.499
Be2 Be 0.068 0.751 0.498
```

---

# KBe4

A relaxed KBe4 crystal (PBE, the Alexandria database).

## Properties
DOS(E_F) = 2.90 states/eV/cell

```
data_KBe4
_chemical_formula_sum 'K1 Be4'
_cell_length_a 5.725
_cell_length_b 5.725
_cell_length_c 5.725
_cell_angle_alpha 90.00
_cell_angle_beta 90.00
_cell_angle_gamma 90.00
_space_group_name_H-M_alt 'P m -3 m'
_space_group_IT_number 221
_space_group_name_Hall '-P 4 2 3'
loop_
_atom_site_label
_atom_site_type_symbol
_atom_site_fract_x
_atom_site_fract_y
_atom_site_fract_z
K1 K 0.000 0.000 0.000
Be1 Be 0.000 0.000 0.500
Be2 Be 0.500 0.500 0.500
```

---

# K3Be

A relaxed K3Be crystal (PBE, the Alexandria database).

## Properties
DOS(E_F) = 1.61 states/eV/cell

```
data_K3Be
_chemical_formula_sum 'K3 Be1'
_cell_length_a 5.712
_cell_length_b 5.712
_cell_length_c 5.712
_cell_angle_alpha 90.00
_cell_angle_beta 90.00
_cell_angle_gamma 90.00
_space_group_name_H-M_alt 'P m -3 m'
_space_group_IT_number 221
_space_group_name_Hall '-P 4 2 3'
loop_
_atom_site_label
_atom_site_type_symbol
_atom_site_fract_x
_atom_site_fract_y
_atom_site_fract_z
K1 K 0.000 0.000 0.500
Be1 Be 0.500 0.500 0.500
```

---

Number 1: energy above the lowest structure with this stoichiometry 43 meV per atom, size of the total moment 0.000 μB per formula unit, energy of formation 0.628 eV/atom. Number 2: energy above the lowest structure with this stoichiometry 2111 meV per atom, size of the total moment 0.000 μB per formula unit, energy of formation 2.716 eV/atom. Number 3: energy above the lowest structure with this stoichiometry 56 meV per atom, size of the total moment 0.000 μB per formula unit, energy of formation 0.647 eV/atom.